[1]
A plane-wave DFT calculation with meta-GGA SCAN was carried out for YMnPb2 at its PBEsol-relaxed geometry.

Structure (POSCAR):
```
YMnPb2
1.0
5.120 0.000 0.000
2.560 4.434 0.000
2.560 1.478 4.180
Y Mn Pb
1 1 2
Cartesian
5.120 2.956 2.090 Y
0.000 0.000 0.000 Mn
7.680 4.434 3.135 Pb
2.560 1.478 1.045 Pb
```

Values from the calculation:
**V**: 23.72 A^3/atom
**Total moment**: 1.02 μB/atom
**Density**: 9.769 Mg/m³

[2]
A plane-wave DFT calculation with meta-GGA SCAN was carried out for YMnPb at its PBEsol-relaxed geometry.

Structure (POSCAR):
```
YMnPb
1.0
-1.971 2.779 -0.613
-1.110 -0.064 3.278
5.770 1.972 0.165
Pb Mn Y
1 1 1
Cartesian
2.999 2.361 1.062 Pb
2.617 4.631 2.804 Mn
-0.238 2.383 1.793 Y
```

Values from the calculation:
**V**: 22.32 A^3/atom
**Total moment**: 1.10 μB/atom
**Density**: 8.706 Mg/m³

[3]
A plane-wave DFT calculation with meta-GGA SCAN was carried out for YMnPb at its PBEsol-relaxed geometry.

Structure (POSCAR):
```
YMnPb
1.0
-4.597 -0.893 1.527
-0.886 -0.871 4.766
-2.388 3.347 2.713
Pb Mn Y
1 1 1
Cartesian
-3.936 0.791 4.503 Pb
0.000 0.000 0.000 Mn
-1.968 0.395 2.252 Y
```

Values from the calculation:
**V**: 28.17 A^3/atom
**Total moment**: 1.64 μB/atom
**Density**: 6.898 Mg/m³

[4]
A plane-wave DFT calculation with meta-GGA SCAN was carried out for YMnPb3 at its PBEsol-relaxed geometry.

Structure (POSCAR):
```
YMnPb3
1.0
5.726 0.000 0.000
0.000 5.726 0.000
0.000 0.000 5.726
Pb Mn Y
3 1 1
Cartesian
0.000 0.000 2.863 Pb
2.863 0.000 0.000 Pb
0.000 2.863 0.000 Pb
2.863 2.863 2.863 Mn
0.000 0.000 0.000 Y
```

Values from the calculation:
**V**: 37.54 A^3/atom
**Total moment**: 1.10 μB/atom
**Density**: 6.772 Mg/m³

[5]
A plane-wave DFT calculation with meta-GGA SCAN was carried out for MnZnPb2 at its PBEsol-relaxed geometry.

Structure (POSCAR):
```
MnZnPb2
1.0
-2.255 -1.836 -1.640
-1.631 -1.933 4.405
-3.232 3.919 0.057
Pb Mn Zn
2 1 1
Cartesian
-1.616 1.959 0.029 Pb
-0.816 -0.967 2.203 Pb
-1.127 -0.918 -0.820 Mn
-3.559 0.075 1.411 Zn
```

Values from the calculation:
**V**: 21.47 A^3/atom
**Total moment**: 1.04 μB/atom
**Density**: 10.342 Mg/m³

[6]
A plane-wave DFT calculation with meta-GGA SCAN was carried out for ZrMn3Pb at its PBEsol-relaxed geometry.

Structure (POSCAR):
```
ZrMn3Pb
1.0
4.869 0.000 0.000
0.000 4.869 0.000
0.000 0.000 4.869
Mn Pb Zr
3 1 1
Cartesian
0.000 0.000 2.434 Mn
2.434 0.000 0.000 Mn
0.000 2.434 0.000 Mn
0.000 0.000 0.000 Pb
2.434 2.434 2.434 Zr
```

Values from the calculation:
**V**: 23.09 A^3/atom
**Total moment**: 1.92 μB/atom
**Density**: 6.664 Mg/m³

| no. | formation energy from the elements (eV per formula unit) |
| --- | --- |
| 1 | -0.86 |
| 2 | -0.86 |
| 3 | 0.36 |
| 4 | 3.01 |
| 5 | 0.81 |
| 6 | 4.31 |